The following is a DFT calculation (PBE) of crystalline AcEuMgSc at its relaxed geometry.

Computed properties:
* ΔE_f: 0.17 eV/atom
* magnetic moment: 29.646 μB/cell

The structure in CIF format:
```
data_AcEuMgSc
_chemical_formula_sum 'Ac4 Eu4 Mg4 Sc4'
_cell_length_a 8.0416
_cell_length_b 8.0416
_cell_length_c 8.0416
_cell_angle_alpha 90.00
_cell_angle_beta 90.00
_cell_angle_gamma 90.00
_symmetry_space_group_name_H-M 'F -4 3 m'
_symmetry_Int_Tables_number 216
_symmetry_space_group_name_Hall 'F -4 2 3'
loop_
_atom_site_label
_atom_site_type_symbol
_atom_site_fract_x
_atom_site_fract_y
_atom_site_fract_z
_atom_site_occupancy
Ac1 Ac 0.0000 0.0000 0.0000 1
Eu1 Eu 0.2500 0.2500 0.2500 1
Mg1 Mg 0.0000 0.0000 0.5000 1
Sc1 Sc 0.2500 0.2500 0.7500 1
```

=====

The following is a DFT calculation (PBE) of crystalline AcEuMgSi at its relaxed geometry.

Computed properties:
* energy relative to the elements, uncorrected: -0.198 eV per atom
* magnetic moment: 29.741 μB/cell

The structure in CIF format:
```
data_AcEuMgSi
_chemical_formula_sum 'Ac4 Eu4 Mg4 Si4'
_cell_length_a 7.7364
_cell_length_b 7.7364
_cell_length_c 7.7364
_cell_angle_alpha 90.00
_cell_angle_beta 90.00
_cell_angle_gamma 90.00
_symmetry_space_group_name_H-M 'F -4 3 m'
_symmetry_Int_Tables_number 216
_symmetry_space_group_name_Hall 'F -4 2 3'
loop_
_atom_site_label
_atom_site_type_symbol
_atom_site_fract_x
_atom_site_fract_y
_atom_site_fract_z
_atom_site_occupancy
Ac1 Ac 0.0000 0.0000 0.0000 1
Eu1 Eu 0.0000 0.0000 0.5000 1
Mg1 Mg 0.2500 0.2500 0.2500 1
Si1 Si 0.2500 0.2500 0.7500 1
```

=====

The following is a DFT calculation (PBE) of crystalline AcSmEuMg at its relaxed geometry.

Computed properties:
* ΔE_f: 0.11 eV/atom
* magnetic moment: 28.763 μB/cell

The structure in CIF format:
```
data_AcSmEuMg
_chemical_formula_sum 'Ac4 Sm4 Eu4 Mg4'
_cell_length_a 8.2973
_cell_length_b 8.2973
_cell_length_c 8.2973
_cell_angle_alpha 90.00
_cell_angle_beta 90.00
_cell_angle_gamma 90.00
_symmetry_space_group_name_H-M 'F -4 3 m'
_symmetry_Int_Tables_number 216
_symmetry_space_group_name_Hall 'F -4 2 3'
loop_
_atom_site_label
_atom_site_type_symbol
_atom_site_fract_x
_atom_site_fract_y
_atom_site_fract_z
_atom_site_occupancy
Ac1 Ac 0.0000 0.0000 0.0000 1
Sm1 Sm 0.2500 0.2500 0.7500 1
Eu1 Eu 0.2500 0.2500 0.2500 1
Mg1 Mg 0.0000 0.0000 0.5000 1
```

=====

Question: Look up the magnetic moment of the third one.
Answer: 28.763 μB/cell

=====

Repeat the first record exactly.
The following is a DFT calculation (PBE) of crystalline AcEuMgSc at its relaxed geometry.

Computed properties:
* ΔE_f: 0.17 eV/atom
* magnetic moment: 29.646 μB/cell

The structure in CIF format:
```
data_AcEuMgSc
_chemical_formula_sum 'Ac4 Eu4 Mg4 Sc4'
_cell_length_a 8.0416
_cell_length_b 8.0416
_cell_length_c 8.0416
_cell_angle_alpha 90.00
_cell_angle_beta 90.00
_cell_angle_gamma 90.00
_symmetry_space_group_name_H-M 'F -4 3 m'
_symmetry_Int_Tables_number 216
_symmetry_space_group_name_Hall 'F -4 2 3'
loop_
_atom_site_label
_atom_site_type_symbol
_atom_site_fract_x
_atom_site_fract_y
_atom_site_fract_z
_atom_site_occupancy
Ac1 Ac 0.0000 0.0000 0.0000 1
Eu1 Eu 0.2500 0.2500 0.2500 1
Mg1 Mg 0.0000 0.0000 0.5000 1
Sc1 Sc 0.2500 0.2500 0.7500 1
```

=====

Question: The lowest magnetic moment belongs to which entry?
Answer: AcSmEuMg